Record 1
Compound: La2TaTl
Source: the Alexandria database
Functional: PBE
Structure: optimized geometry

POSCAR file:
```
La2TaTl
1.0
0.000 3.879 3.879
3.879 0.000 3.879
3.879 3.879 0.000
La Ta Tl
2 1 1
Direct
0.250 0.250 0.250
0.750 0.750 0.750
0.000 0.000 0.000
0.500 0.500 0.500
```

Values from the calculation:
- Magnetization: 2.58 μB/f.u.
- Energy relative to the elements: 292.3 meV/atom
- Energy above the lowest structure with this stoichiometry: 150 meV per atom


Record 2
Compound: La2TaTl
Source: the Alexandria database
Functional: PBE
Structure: optimized geometry

POSCAR file:
```
La2TaTl
1.0
3.285 0.000 0.000
0.000 3.285 0.000
0.000 0.000 10.418
La Ta Tl
2 1 1
Direct
0.000 0.000 0.000
0.500 0.500 0.338
0.000 0.000 0.564
0.500 0.500 0.761
```

Values from the calculation:
- Magnetization: 0.00 μB/f.u.
- Energy relative to the elements: 300.6 meV/atom
- Energy above the lowest structure with this stoichiometry: 158 meV per atom